Here is a relaxed structure of HfZr2Be from Alexandria. Energies are from PBE-GGA.

```
HfZr2Be
1.0
-3.827 3.827 2.737
3.827 -3.827 2.737
3.827 3.827 -2.737
Hf Zr Be
2 4 2
Direct
0.000 0.000 0.000
0.750 0.250 0.500
0.172 0.625 0.047
0.375 0.422 0.547
0.578 0.125 0.953
0.875 0.828 0.453
0.250 0.750 0.500
0.500 0.500 0.000
```

Results
Final energy, eV/atom: -7.345
Energy relative to the elements, kcal/mol of atoms: 8.1
Volume, A^3/atom: 20.04